No. 1
# Sc4CdPt

Crystalline Sc4CdPt at its relaxed geometry (PBE-GGA, Alexandria).

## Properties
* distance to the lowest polymorph of the same formula: 0.000 eV per atom
* volume: 21.97 Å³/atom
* calculated formation energy: -592 meV per atom
* raw total energy: -573.393 eV per cell

CIF file:
```
data_Sc4CdPt
_cell_length_a 12.8253
_cell_length_b 12.8253
_cell_length_c 12.8253
_cell_angle_alpha 90.00
_cell_angle_beta 90.00
_cell_angle_gamma 90.00
_symmetry_space_group_name_H-M 'F -4 3 m'
_symmetry_Int_Tables_number 216
_symmetry_space_group_name_Hall 'F -4 2 3'
loop_
_atom_site_label
_atom_site_fract_x
_atom_site_fract_y
_atom_site_fract_z
Sc1 0.0000 0.0000 0.1860
Sc2 0.0608 0.2500 0.7500
Sc3 0.1060 0.1060 0.3940
Cd1 0.1657 0.1657 0.1657
Pt1 0.1053 0.1053 0.6053
```

No. 2
# La2Sm3Rh2

Crystalline La2Sm3Rh2 at its relaxed geometry (PBE-GGA, Alexandria).

## Properties
* volume: 28.87 Å³/atom
* calculated formation energy: -508 meV per atom
* raw total energy: -84.537 eV per cell

CIF file:
```
data_La2Sm3Rh2
_cell_length_a 12.3952
_cell_length_b 3.8786
_cell_length_c 9.2596
_cell_angle_alpha 90.00
_cell_angle_beta 114.80
_cell_angle_gamma 90.00
_symmetry_space_group_name_H-M 'C 1 2/m 1'
_symmetry_Int_Tables_number 12
_symmetry_space_group_name_Hall '-C 2y'
loop_
_atom_site_label
_atom_site_fract_x
_atom_site_fract_y
_atom_site_fract_z
La1 0.1682 0.0000 0.3071
Sm1 0.0000 0.5000 0.5000
Sm2 0.1164 0.5000 0.9232
Rh1 0.1784 0.0000 0.7429
```

No. 3
# Tb4PrTm5

Crystalline Tb4PrTm5 at its relaxed geometry (PBE-GGA, Alexandria).

## Properties
* distance to the lowest polymorph of the same formula: 0.000 eV per atom
* volume: 31.69 Å³/atom
* calculated formation energy: 63 meV per atom
* raw total energy: -45.030 eV per cell

CIF file:
```
data_Tb4PrTm5
_cell_length_a 3.5397
_cell_length_b 6.6590
_cell_length_c 14.0627
_cell_angle_alpha 98.38
_cell_angle_beta 93.08
_cell_angle_gamma 103.98
_symmetry_space_group_name_H-M 'P -1'
_symmetry_Int_Tables_number 2
_symmetry_space_group_name_Hall '-P 1'
loop_
_atom_site_label
_atom_site_fract_x
_atom_site_fract_y
_atom_site_fract_z
Tb1 0.1169 0.3096 0.2197
Tb2 0.1889 0.2249 0.8032
Pr1 0.0000 0.5000 0.0000
Tm1 0.2046 0.3802 0.5826
Tm2 0.4897 0.9264 0.6114
Tm3 0.5000 0.0000 0.0000
```

No. 4
# K2LiCl

Crystalline K2LiCl at its relaxed geometry (PBE-GGA, Alexandria).

## Properties
* distance to the lowest polymorph of the same formula: 0.056 eV per atom
* volume: 44.54 Å³/atom
* E_form (uncorrected): -0.76 eV per atom
* raw total energy: -18.007 eV per cell

CIF file:
```
data_K2LiCl
_cell_length_a 4.0993
_cell_length_b 7.7578
_cell_length_c 11.2039
_cell_angle_alpha 90.00
_cell_angle_beta 90.00
_cell_angle_gamma 90.00
_symmetry_space_group_name_H-M 'C m m 2'
_symmetry_Int_Tables_number 35
_symmetry_space_group_name_Hall 'C 2 -2'
loop_
_atom_site_label
_atom_site_fract_x
_atom_site_fract_y
_atom_site_fract_z
K1 0.0000 0.0000 0.0000
K2 0.0000 0.5000 0.3598
Li1 0.0000 0.5000 0.6889
Cl1 0.0000 0.0000 0.5796
```

No. 5
# Mn2AlHg

Crystalline Mn2AlHg at its relaxed geometry (PBE-GGA, Alexandria).

## Properties
* distance to the lowest polymorph of the same formula: 0.054 eV per atom
* volume: 15.51 Å³/atom
* calculated formation energy: 158 meV per atom
* raw total energy: -43.506 eV per cell

CIF file:
```
data_Mn2AlHg
_cell_length_a 5.5988
_cell_length_b 7.6802
_cell_length_c 2.8859
_cell_angle_alpha 90.00
_cell_angle_beta 90.00
_cell_angle_gamma 90.00
_symmetry_space_group_name_H-M 'C m m m'
_symmetry_Int_Tables_number 65
_symmetry_space_group_name_Hall '-C 2 2'
loop_
_atom_site_label
_atom_site_fract_x
_atom_site_fract_y
_atom_site_fract_z
Mn1 0.2500 0.2500 0.0000
Al1 0.0000 0.0000 0.5000
Hg1 0.0000 0.5000 0.5000
```

No. 6
# YScGa2Au2

Crystalline YScGa2Au2 at its relaxed geometry (PBE-GGA, Alexandria).

## Properties
* volume: 19.91 Å³/atom
* calculated formation energy: -775 meV per atom
* raw total energy: -30.051 eV per cell

CIF file:
```
data_YScGa2Au2
_cell_length_a 4.4853
_cell_length_b 4.4853
_cell_length_c 6.8580
_cell_angle_alpha 90.00
_cell_angle_beta 90.00
_cell_angle_gamma 120.00
_symmetry_space_group_name_H-M 'P -3 m 1'
_symmetry_Int_Tables_number 164
_symmetry_space_group_name_Hall '-P 3 2"'
loop_
_atom_site_label
_atom_site_fract_x
_atom_site_fract_y
_atom_site_fract_z
Y1 0.0000 0.0000 0.0000
Sc1 0.0000 0.0000 0.5000
Ga1 0.3333 0.6667 0.7206
Au1 0.3333 0.6667 0.2771
```